Compound: V7Sn2C2
Source: the Alexandria database
Functional: PBE-GGA
Structure: relaxed

```
V7Sn2C2
1.0
-1.122 5.343 -0.609
-5.411 -1.497 1.643
1.382 -1.294 5.157
V Sn C
7 2 2
Cartesian
-1.521 4.087 2.379
-3.513 0.296 5.868
-3.630 -1.535 3.811
-1.638 2.256 0.322
0.000 0.000 0.000
-4.615 1.097 3.371
-0.535 1.455 2.819
-2.504 2.387 4.343
-2.647 0.165 1.847
-5.841 2.364 2.313
0.690 0.188 3.877
```

Results
**Total magnetic moment**: 0.000 Bohr magnetons per cell
**ΔH_f (0 K)**: 0.03 eV per atom
**D(E_F)**: 8.90 states/eV/cell

Compound: Pr3Cu2Rh3
Source: the Alexandria database
Functional: PBE-GGA
Structure: relaxed

```
Pr3Cu2Rh3
1.0
-0.821 1.322 -3.990
5.470 -2.044 0.495
-4.625 -13.207 -3.424
Pr Cu Rh
6 4 6
Cartesian
1.879 -5.677 -4.566
-3.194 -12.075 -3.343
3.217 -1.854 -3.575
-1.855 -8.252 -2.352
-0.219 -3.009 -3.250
0.243 -10.920 -3.668
-1.642 -12.065 -5.957
0.254 -5.896 -2.006
-0.231 -8.033 -4.912
1.666 -1.865 -0.961
-1.439 -5.676 -3.883
-0.455 -13.730 -4.455
0.479 -0.200 -2.463
1.463 -8.253 -3.035
2.374 -4.267 -1.902
-2.351 -9.662 -5.016
```

Results
**Total magnetic moment**: 0.000 Bohr magnetons per cell
**ΔH_f (0 K)**: -0.44 eV per atom
**D(E_F)**: 8.89 states/eV/cell

Compound: Sr2UCdAs4
Source: the Alexandria database
Functional: PBE-GGA
Structure: relaxed

```
Sr2UCdAs4
1.0
-0.669 -1.652 3.921
7.126 1.576 1.879
0.549 6.616 2.882
Sr U Cd As
2 1 1 4
Cartesian
0.549 6.616 2.882
-0.060 2.482 3.401
3.837 4.096 2.380
3.229 -0.038 2.900
5.457 6.075 3.490
1.549 0.464 5.191
4.934 2.187 4.129
2.071 4.352 4.553
```

Results
**Total magnetic moment**: 0.179 Bohr magnetons per cell
**ΔH_f (0 K)**: -0.70 eV per atom
**D(E_F)**: 3.38 states/eV/cell

Compound: LaTbSmHo
Source: the Alexandria database
Functional: PBE-GGA
Structure: relaxed

```
LaTbSmHo
1.0
-5.573 -1.425 0.291
-1.554 -5.546 0.095
-2.134 -2.311 4.825
Tb Ho Sm La
1 1 1 1
Cartesian
0.000 0.000 0.000
-4.630 -4.641 2.606
-6.945 -6.961 3.909
-2.315 -2.320 1.303
```

Results
**Total magnetic moment**: 0.000 Bohr magnetons per cell
**ΔH_f (0 K)**: 0.11 eV per atom
**Offset from the most stable computed form**: 0.0 meV/atom
**D(E_F)**: 7.83 states/eV/cell

Compound: Ac2MgZn7
Source: the Alexandria database
Functional: PBE-GGA
Structure: relaxed

```
Ac2MgZn7
1.0
4.528 0.000 0.000
0.000 4.528 0.000
0.000 0.000 10.637
Ac Mg Zn
2 1 7
Cartesian
2.264 0.000 7.852
0.000 2.264 2.786
2.264 2.264 0.000
0.000 2.264 9.151
2.264 0.000 4.009
2.264 0.000 1.486
0.000 2.264 6.628
0.000 0.000 5.319
0.000 0.000 0.000
2.264 2.264 5.319
```

Results
**Total magnetic moment**: 0.000 Bohr magnetons per cell
**ΔH_f (0 K)**: -0.26 eV per atom
**D(E_F)**: 8.75 states/eV/cell

Compound: GeTeIr
Source: the Alexandria database
Functional: PBE-GGA
Structure: relaxed

```
GeTeIr
1.0
5.319 0.000 0.000
0.000 6.793 0.011
0.000 0.064 7.423
Ir Ge Te
4 4 4
Cartesian
2.538 1.648 4.759
5.198 5.241 6.386
2.780 5.209 2.675
0.121 1.616 1.047
3.667 6.278 4.755
4.311 6.246 1.044
1.651 0.579 2.678
1.008 0.612 6.390
1.497 3.931 0.727
1.162 3.963 4.439
3.822 2.926 6.707
4.156 2.894 2.995
```

Results
**Total magnetic moment**: 0.000 Bohr magnetons per cell
**D(E_F)**: 0.91 states/eV/cell
**ΔE_f (raw)**: -0.236 eV per atom

Compound: Tl2IBr4
Source: the Alexandria database
Functional: PBE-GGA
Structure: relaxed

```
Tl2IBr4
1.0
-2.624 -1.098 4.716
-0.908 -5.157 -1.706
7.270 -6.150 5.829
I Tl Br
1 2 4
Cartesian
0.000 0.000 0.000
2.366 -8.227 5.832
1.373 -4.177 3.007
-0.172 -7.378 4.618
3.910 -5.026 4.221
-0.454 -2.578 -0.853
-1.312 -0.549 2.358
```

Results
**Total magnetic moment**: 0.000 Bohr magnetons per cell
**D(E_F)**: 2.28 states/eV/cell
**ΔE_f (raw)**: -0.409 eV per atom

Compound: LiHo3Pt3
Source: the Alexandria database
Functional: PBE-GGA
Structure: relaxed

```
LiHo3Pt3
1.0
6.774 0.002 -0.002
0.017 6.774 -0.002
0.000 0.000 6.706
Li Ho Pt
2 6 6
Cartesian
1.559 1.555 0.001
5.232 5.220 6.701
1.707 1.704 3.359
1.646 5.141 3.351
5.145 1.634 3.351
1.763 5.024 -0.002
5.028 1.751 -0.002
5.083 5.072 3.344
6.788 6.773 5.080
3.384 0.003 1.645
0.011 3.384 1.645
3.407 6.772 5.057
6.780 3.391 5.057
0.003 0.002 1.623
```

Results
**Total magnetic moment**: 0.000 Bohr magnetons per cell
**ΔH_f (0 K)**: -0.93 eV per atom
**D(E_F)**: 4.91 states/eV/cell

Compound: K2CeTlS4
Source: the Alexandria database
Functional: PBE-GGA
Structure: relaxed

```
K2CeTlS4
1.0
-3.792 1.609 0.655
0.834 -1.129 7.605
3.045 5.982 2.933
K Ce Tl S
2 1 1 4
Cartesian
3.045 5.982 2.933
-0.373 3.796 1.794
1.939 2.427 5.269
-1.479 0.240 4.130
2.854 3.657 7.542
-2.767 2.806 3.651
-0.440 1.710 6.536
0.527 4.753 4.657
```

Results
**Total magnetic moment**: 0.259 Bohr magnetons per cell
**D(E_F)**: 5.53 states/eV/cell
**ΔE_f (raw)**: -1.206 eV per atom

Compound: Sr3Li2Au
Source: the Alexandria database
Functional: PBE-GGA
Structure: relaxed

```
Sr3Li2Au
1.0
4.608 0.000 0.000
0.000 13.548 0.000
0.000 0.000 13.573
Sr Li Au
12 8 4
Cartesian
1.152 4.993 0.706
3.456 8.555 12.868
3.456 11.767 6.081
1.152 1.781 7.492
1.152 9.592 3.060
3.456 3.956 10.513
3.456 2.818 3.727
1.152 10.730 9.846
1.152 6.069 5.250
3.456 7.479 8.323
3.456 12.843 1.537
1.152 0.705 12.037
1.152 9.240 6.411
3.456 4.308 7.162
3.456 2.466 0.375
1.152 11.082 13.198
1.152 0.151 3.982
3.456 13.397 9.591
3.456 6.924 2.804
1.152 6.623 10.769
1.152 1.711 1.636
3.456 11.837 11.937
3.456 8.485 5.151
1.152 5.063 8.423
```

Results
**Total magnetic moment**: 0.000 Bohr magnetons per cell
**ΔH_f (0 K)**: -0.29 eV per atom
**D(E_F)**: 16.28 states/eV/cell